# AlVInO4 GGA+U relaxed
data_AlVInO4
_symmetry_space_group_name_H-M 'I m m a'
_symmetry_Int_Tables_number 74
_symmetry_space_group_name_Hall '-I 2b 2'
_cell_length_a 6.048
_cell_length_b 6.240
_cell_length_c 8.629
_cell_angle_alpha 90.00
_cell_angle_beta 90.00
_cell_angle_gamma 90.00
loop_
_atom_site_label
_atom_site_type_symbol
_atom_site_fract_x
_atom_site_fract_y
_atom_site_fract_z
Al1 Al 0.000 0.250 0.129
V1 V 0.250 0.250 0.750
In1 In 0.000 0.000 0.500
O1 O 0.000 0.007 0.245
O2 O 0.243 0.250 0.003
# - DOS at the Fermi energy (states/eV/f.u.) = 0.38
# - final energy (eV per formula unit) = -48.146